# 1
# AgPtCl2

A relaxed AgPtCl2 crystal (GGA-PBEsol, the Alexandria database).

Cell lengths 3.1954, 3.7040, 13.3151 Å; angles 90.00, 90.00, 90.00 degrees
Closest atoms and distances in Å follow each position.
Space group Imm2 (No. 44)
Symmetry-distinct sites (fractional):
Ag1 0.0000 0.0000 0.0000 x2  4 Cl 2.62, 2 Pt 2.83
Pt1 0.0000 0.5000 0.3246 x2  4 Cl 2.47
Cl1 0.0000 0.0000 0.5707 x2  4 Ag 2.62
Cl2 0.0000 0.5000 0.7993 x2  4 Pt 2.47

Output
The value obtained for the polymorph energy (0 for the lowest one) is 45 meV/atom. The formation energy from raw total energies is 0.37 eV/f.u.

# 2
# ZnRe2AsOs

A relaxed ZnRe2AsOs crystal (GGA-PBEsol, the Alexandria database).

Cell lengths 4.4659, 4.4659, 4.3368 Å; angles 90.00, 90.00, 90.00 degrees
Closest atoms and distances in Å follow each position.
Space group P4/mmm (No. 123)
Symmetry-distinct sites (fractional):
Zn1 0.0000 0.0000 0.0000 x1  2 As 2.17
Re1 0.0000 0.5000 0.5000 x2  2 As 2.23
As1 0.0000 0.0000 0.5000 x1  2 Zn 2.17, 4 Re 2.23
Os1 0.5000 0.5000 0.0000 x1  8 Re 3.11, 4 Zn 3.16

Output
For the formation energy, the calculation gives 1.962 eV per atom.

# 3
# KAg2Te2

A relaxed KAg2Te2 crystal (GGA-PBEsol, the Alexandria database).

Cell lengths 4.4052, 4.4052, 14.2512 Å; angles 90.00, 90.00, 90.00 degrees
Closest atoms and distances in Å follow each position.
Space group I4/mmm (No. 139)
Symmetry-distinct sites (fractional):
K1 0.0000 0.0000 0.0000 x2  8 Te 3.61
Ag1 0.0000 0.5000 0.2500 x4  4 Te 2.80, 4 Ag 3.11
Te1 0.0000 0.0000 0.3716 x4  4 Ag 2.80

Output
The formation energy from raw total energies is -1.87 eV/f.u.

# 4
# Ag2PW

A relaxed Ag2PW crystal (GGA-PBEsol, the Alexandria database).

Cell lengths 2.7627, 4.6810, 4.9691 Å; angles 90.00, 104.47, 90.00 degrees
Closest atoms and distances in Å follow each position.
Space group P2/m (No. 10)
Symmetry-distinct sites (fractional):
Ag1 0.1508 0.0000 0.2604 x2  5 Ag 2.51-2.76, 2 P 2.69
P1 0.5000 0.5000 0.5000 x1  2 W 2.48, 4 Ag 2.69, 2 P 2.76
W1 0.5000 0.5000 0.0000 x1  2 P 2.48, 2 W 2.76

Output
For the formation energy, the calculation gives 0.465 eV per atom.

# 5
# CaAlIr2

A relaxed CaAlIr2 crystal (GGA-PBEsol, the Alexandria database).

Cell lengths 2.8722, 4.5672, 10.1106 Å; angles 90.00, 90.00, 90.00 degrees
Closest atoms and distances in Å follow each position.
Space group Imm2 (No. 44)
Symmetry-distinct sites (fractional):
Ca1 0.0000 0.0000 0.0000 x2  4 Ir 2.70, 2 Ca 2.87
Al1 0.0000 0.5000 0.2123 x2  6 Ir 2.61-2.78, 2 Al 2.87
Ir1 0.0000 0.0000 0.4971 x2  2 Al 2.61, 4 Ir 2.65-2.87, 4 Ca 2.70
Ir2 0.0000 0.5000 0.7769 x2  4 Ir 2.65-2.87, 4 Al 2.78

Output
For the formation energy, the calculation gives -0.267 eV per atom.

# 6
# Cd2FeHg

A relaxed Cd2FeHg crystal (GGA-PBEsol, the Alexandria database).

Cell lengths 2.9702, 2.9702, 28.7720 Å; angles 90.00, 90.00, 120.00 degrees
Closest atoms and distances in Å follow each position.
Space group R-3m (No. 166, hexagonal axes)
Symmetry-distinct sites (fractional):
Cd1 0.0000 0.0000 0.2412 x6  3 Fe 2.74, 6 Cd 2.97
Fe1 0.0000 0.0000 0.5000 x3  6 Cd 2.74, 6 Fe 2.97
Hg1 0.0000 0.0000 0.0000 x3  6 Hg 2.97, 6 Cd 3.16

Output
For the formation energy, the calculation gives 0.282 eV per atom.

# 7
# NaLiCdBr2

A relaxed NaLiCdBr2 crystal (GGA-PBEsol, the Alexandria database).

Cell lengths 5.5002, 5.5002, 5.4952 Å; angles 90.00, 90.00, 90.00 degrees
Closest atoms and distances in Å follow each position.
Space group P4/mmm (No. 123)
Symmetry-distinct sites (fractional):
Na1 0.0000 0.0000 0.0000 x1  2 Cd 2.75, 4 Br 2.75
Li1 0.5000 0.5000 0.5000 x1  8 Br 3.89, 4 Cd 3.89
Cd1 0.0000 0.0000 0.5000 x1  2 Na 2.75
Br1 0.0000 0.5000 0.0000 x2  2 Na 2.75

Output
The formation energy from raw total energies is -2.85 eV/f.u.

# 8
# NbSiOs

A relaxed NbSiOs crystal (GGA-PBEsol, the Alexandria database).

Cell lengths 9.2195, 3.8287, 6.3110 Å; angles 90.00, 126.87, 90.00 degrees
Closest atoms and distances in Å follow each position.
Space group C2/m (No. 12)
Symmetry-distinct sites (fractional):
Nb1 0.0646 0.0000 0.3172 x4  5 Si 2.59-2.78, 2 Os 2.83
Si1 0.1566 0.5000 0.6886 x4  3 Os 2.37, 1 Si 2.40, 1 Nb 2.59
Os1 0.1673 0.5000 0.0739 x4  3 Si 2.37, 1 Os 2.63

Output
The formation energy from raw total energies is -1.52 eV/f.u.